# Li2Cr2O7 | Alexandria | PBE with a Hubbard U | optimized geometry
# * magnetization: 0.00 Bohr magnetons per cell
# * D(E_F): 0.00 states/eV per atom
# * energy: -277.15 eV per cell
# * energy relative to the lowest polymorph listed for this composition: 0.498 eV per formula unit
data_Li2Cr2O7
_cell_length_a 6.742
_cell_length_b 6.742
_cell_length_c 13.130
_cell_angle_alpha 90.00
_cell_angle_beta 90.00
_cell_angle_gamma 90.00
_space_group_name_H-M_alt 'P 41 21 2'
_space_group_IT_number 92
_space_group_name_Hall 'P 4abw 2nw'
loop_
_atom_site_label
_atom_site_fract_x
_atom_site_fract_y
_atom_site_fract_z
Li1 0.038 0.314 0.158
Cr1 0.094 0.186 0.624
O1 0.013 0.042 0.870
O2 0.039 0.618 0.148
O3 0.170 0.282 0.297
O4 0.206 0.206 0.500